## Tm2NiHg3 (PBE)

Data for crystalline Tm2NiHg3 at its relaxed geometry.

The space group is Pmm2 (No. 25) and the conventional cell measures 3.4171, 4.7278 and 8.2673 Å, with angles of 90.00, 90.00 and 90.00 degrees. The distinct sites, in fractional coordinates, are Tm at (0.0000, 0.0000, 0.0000), Tm at (0.0000, 0.5000, 0.4292), Ni at (0.5000, 0.0000, 0.2738), Hg at (0.5000, 0.0000, 0.5924), Hg at (0.5000, 0.5000, 0.1299) and Hg at (0.5000, 0.5000, 0.7849).

The value obtained for the formation energy from the elements is -2.1 eV per formula unit. The spin magnetization comes out at 0.000 Bohr magnetons per cell.

## Tm12Ni6Hg (PBE)

Data for crystalline Tm12Ni6Hg at its relaxed geometry.

The space group is R-3 (No. 148, hexagonal axes) and the conventional cell measures 13.4871, 13.4871 and 8.6315 Å, with angles of 90.00, 90.00 and 120.00 degrees. The distinct sites, in fractional coordinates, are Tm at (0.0387, 0.2553, 0.4265), Tm at (0.0594, 0.1795, 0.8308), Ni at (0.0732, 0.5004, 0.7858) and Hg at (0.0000, 0.0000, 0.5000).

The value obtained for the formation energy from the elements is -4.8 eV per formula unit. The spin magnetization comes out at 0.000 Bohr magnetons per cell. For the polymorph energy (0 for the lowest one), the calculation gives 125 meV/atom.

What did the second record say?
## Tm12Ni6Hg (PBE)

Data for crystalline Tm12Ni6Hg at its relaxed geometry.

The space group is R-3 (No. 148, hexagonal axes) and the conventional cell measures 13.4871, 13.4871 and 8.6315 Å, with angles of 90.00, 90.00 and 120.00 degrees. The distinct sites, in fractional coordinates, are Tm at (0.0387, 0.2553, 0.4265), Tm at (0.0594, 0.1795, 0.8308), Ni at (0.0732, 0.5004, 0.7858) and Hg at (0.0000, 0.0000, 0.5000).

The value obtained for the formation energy from the elements is -4.8 eV per formula unit. The spin magnetization comes out at 0.000 Bohr magnetons per cell. For the polymorph energy (0 for the lowest one), the calculation gives 125 meV/atom.

Q: What is the spin magnetization in the second record?
A: 0.000 Bohr magnetons per cell